! PBE+U Mn2Fe3NiP6O24, optimized geometry; values from VASP
&SYSTEM
  ibrav = 0, nat = 36, ntyp = 5
/
ATOMIC_SPECIES
O 16.00 O.upf
Mn 54.94 Mn.upf
Fe 55.84 Fe.upf
P 30.97 P.upf
Ni 58.69 Ni.upf
ATOMIC_POSITIONS angstrom
O 10.9203 2.3526 2.7979
O 8.6881 2.0526 5.7990
O 10.8912 8.3465 4.8100
O 6.0362 7.6367 4.3093
O 8.3158 7.8590 1.3039
Mn 0.0146 0.0086 0.0061
O 10.5963 4.4689 4.0043
Fe 14.5317 8.5169 6.0569
Fe 6.0403 3.5401 2.5176
P 8.5394 3.5263 0.3325
O 9.0769 6.1003 5.3558
P 11.5490 3.2279 3.8658
O 7.3887 5.3930 6.9955
O 6.1164 1.6248 2.2494
Mn 8.5099 4.9876 3.5470
O 9.1170 2.0807 0.4228
O 5.3079 4.0376 0.7964
O 9.7578 6.6801 2.9069
O 6.2704 2.6766 6.4145
O 7.9402 3.9133 1.7259
O 6.4231 5.5034 3.1299
O 12.6041 6.3239 3.5445
P 7.2494 2.1941 5.3009
O 7.2942 3.2766 4.1711
P 9.7537 7.7742 1.7801
O 11.6764 5.9435 6.3052
O 9.6124 4.5743 0.0353
O 7.8598 7.8914 6.6707
O 11.5983 2.5128 5.2645
Ni 2.4349 1.4271 1.0149
P 5.4567 6.7314 3.2217
O 5.3993 7.4256 1.8267
O 4.4063 3.6159 3.5525
P 8.4596 6.4414 6.7591
O 10.7258 7.2863 0.6455
Fe 10.9796 6.4351 4.5764
CELL_PARAMETERS angstrom
8.5820 0.0191 0.0136
4.2102 7.4783 0.0136
4.2102 2.4676 7.0595
! SG = R3
! total magnetic moment = 24.2 μB per cell
! E = -7.0199 eV/atom